1.
Below is an optimized crystal structure of Li2Ag6Hg, with properties calculated at the PBE level.

Properties
Energy in eV per atom: -2.37
V in Å³/cell: 177.40
Formation energy from the elements in eV per formula unit: -0.1

Cell: 4.966 6.128 6.128 Å, 77.36 100.02 100.02°
Fractional positions:
Li  0.832  0.682  0.682
Li  0.168  0.318  0.318
Ag  0.289  0.404  0.770
Ag  0.416  0.846  0.846
Ag  0.289  0.770  0.404
Ag  0.711  0.596  0.230
Ag  0.584  0.154  0.154
Ag  0.711  0.230  0.596
Hg  0.000  0.000  0.000


2.
Below is an optimized crystal structure of LiAgHg2, with properties calculated at the PBE level.

Properties
Energy in eV per atom: -1.45
V in Å³/cell: 80.89
Formation energy from the elements in eV per formula unit: -0.4

Cell: 3.170 3.170 9.475 Å, 80.37 80.37 60.00°
Fractional positions:
Li  0.667  0.667  0.000
Ag  0.500  0.500  0.500
Hg  0.078  0.078  0.765
Hg  0.255  0.255  0.235


3.
Below is an optimized crystal structure of LiAg8Hg2, with properties calculated at the PBE level.

Properties
Energy in eV per atom: -2.22
V in Å³/cell: 215.96
Formation energy from the elements in eV per formula unit: 0.9

Cell: 5.002 7.587 7.624 Å, 60.16 75.31 59.36°
Fractional positions:
Li  0.500  0.000  0.000
Ag  0.866  0.100  0.219
Ag  0.866  0.320  0.781
Ag  0.315  0.404  0.000
Ag  0.500  0.801  0.398
Ag  0.500  0.199  0.602
Ag  0.685  0.596  0.000
Ag  0.134  0.680  0.219
Ag  0.134  0.900  0.781
Hg  0.000  0.305  0.390
Hg  0.000  0.695  0.610


4.
Below is an optimized crystal structure of Li3Ag5Hg, with properties calculated at the PBE level.

Properties
Energy in eV per atom: -2.41
V in Å³/cell: 309.94
Formation energy from the elements in eV per formula unit: -1.4

Cell: 5.650 7.960 7.958 Å, 120.01 90.00 90.00°
Fractional positions:
Li  0.750  0.327  0.327
Li  0.750  0.000  0.673
Li  0.750  0.673  0.000
Li  0.250  0.673  0.673
Li  0.250  0.000  0.327
Li  0.250  0.327  0.000
Ag  0.000  0.667  0.333
Ag  0.500  0.333  0.667
Ag  0.000  0.333  0.667
Ag  0.500  0.667  0.333
Ag  0.750  0.655  0.655
Ag  0.750  0.000  0.345
Ag  0.750  0.345  0.000
Ag  0.250  0.345  0.345
Ag  0.250  0.000  0.655
Ag  0.250  0.655  0.000
Hg  0.000  0.000  0.000
Hg  0.500  0.000  0.000


5.
Below is an optimized crystal structure of Li2Ag7Hg2, with properties calculated at the PBE level.

Properties
Energy in eV per atom: -2.27
V in Å³/cell: 208.44
Formation energy from the elements in eV per formula unit: -0.5

Cell: 4.028 7.682 7.682 Å, 67.44 105.14 105.14°
Fractional positions:
Li  0.000  0.232  0.768
Li  0.000  0.768  0.232
Ag  0.663  0.917  0.409
Ag  0.337  0.591  0.083
Ag  0.337  0.083  0.591
Ag  0.663  0.409  0.917
Ag  0.500  0.000  0.000
Ag  0.828  0.828  0.828
Ag  0.172  0.172  0.172
Hg  0.864  0.365  0.365
Hg  0.136  0.635  0.635


6.
Below is an optimized crystal structure of LiAg2Hg, with properties calculated at the PBE level.

Properties
Energy in eV per atom: -2.13
V in Å³/cell: 73.23
Formation energy from the elements in eV per formula unit: -0.6

Cell: 4.696 4.696 4.696 Å, 60.00 60.00 60.00°
Fractional positions:
Hg  0.500  0.500  0.500
Ag  0.000  0.000  0.000
Ag  0.750  0.750  0.750
Li  0.250  0.250  0.250


7.
Below is an optimized crystal structure of LiAgHg2, with properties calculated at the PBE level.

Properties
Energy in eV per atom: -1.51
V in Å³/cell: 79.11
Formation energy from the elements in eV per formula unit: -0.7

Cell: 4.482 4.480 3.940 Å, 90.00 90.00 90.00°
Fractional positions:
Hg  0.000  0.000  0.000
Hg  0.500  0.500  0.000
Ag  0.000  0.500  0.500
Li  0.500  0.000  0.500


8.
Below is an optimized crystal structure of Li5Ag2Hg2, with properties calculated at the PBE level.

Properties
Energy in eV per atom: -1.96
V in Å³/cell: 338.53
Formation energy from the elements in eV per formula unit: -1.7

Cell: 7.051 6.970 7.720 Å, 116.84 90.00 90.00°
Fractional positions:
Li  0.000  0.000  0.000
Li  0.500  0.500  0.000
Li  0.836  0.800  0.267
Li  0.164  0.467  0.267
Li  0.336  0.967  0.267
Li  0.664  0.300  0.267
Li  0.164  0.200  0.733
Li  0.836  0.533  0.733
Li  0.664  0.033  0.733
Li  0.336  0.700  0.733
Ag  0.639  0.861  0.000
Ag  0.361  0.139  0.000
Ag  0.139  0.639  0.000
Ag  0.861  0.361  0.000
Hg  0.000  0.205  0.410
Hg  0.500  0.705  0.410
Hg  0.000  0.795  0.590
Hg  0.500  0.295  0.590


9.
Below is an optimized crystal structure of Li3Ag6Hg, with properties calculated at the PBE level.

Properties
Energy in eV per atom: -2.38
V in Å³/cell: 364.31
Formation energy from the elements in eV per formula unit: -0.6

Cell: 5.334 8.463 8.463 Å, 107.52 90.00 90.00°
Fractional positions:
Li  0.450  0.905  0.710
Li  0.950  0.710  0.905
Li  0.113  0.374  0.626
Li  0.613  0.626  0.374
Li  0.950  0.095  0.290
Li  0.450  0.290  0.095
Ag  0.087  0.682  0.595
Ag  0.587  0.595  0.682
Ag  0.369  0.544  0.961
Ag  0.869  0.961  0.544
Ag  0.272  0.963  0.037
Ag  0.638  0.265  0.735
Ag  0.138  0.735  0.265
Ag  0.772  0.037  0.963
Ag  0.369  0.039  0.456
Ag  0.869  0.456  0.039
Ag  0.087  0.405  0.318
Ag  0.587  0.318  0.405
Hg  0.152  0.178  0.822
Hg  0.652  0.822  0.178


10.
Below is an optimized crystal structure of Li2AgHg6, with properties calculated at the PBE level.

Properties
Energy in eV per atom: -1.09
V in Å³/cell: 193.85
Formation energy from the elements in eV per formula unit: -1.3

Cell: 9.267 7.252 6.602 Å, 83.82 51.08 45.10°
Fractional positions:
Li  0.655  0.655  0.345
Li  0.345  0.345  0.655
Ag  0.000  0.000  0.000
Hg  0.027  0.320  0.680
Hg  0.680  0.973  0.027
Hg  0.320  0.027  0.973
Hg  0.660  0.340  0.660
Hg  0.340  0.660  0.340
Hg  0.973  0.680  0.320


11.
Below is an optimized crystal structure of Li3AgHg, with properties calculated at the PBE level.

Properties
Energy in eV per atom: -1.63
V in Å³/cell: 119.27
Formation energy from the elements in eV per formula unit: 0.7

Cell: 4.922 4.922 4.922 Å, 90.00 90.00 90.00°
Fractional positions:
Hg  0.000  0.000  0.000
Ag  0.500  0.500  0.500
Li  0.000  0.500  0.000
Li  0.000  0.000  0.500
Li  0.500  0.000  0.000


12.
Below is an optimized crystal structure of Li2Ag8Hg, with properties calculated at the PBE level.

Properties
Energy in eV per atom: -2.38
V in Å³/cell: 218.43
Formation energy from the elements in eV per formula unit: 0.8

Cell: 4.888 7.371 7.371 Å, 58.74 76.25 76.25°
Fractional positions:
Li  0.481  0.134  0.134
Li  0.519  0.866  0.866
Ag  0.782  0.232  0.618
Ag  0.218  0.382  0.768
Ag  0.928  0.228  0.228
Ag  0.072  0.772  0.772
Ag  0.782  0.618  0.232
Ag  0.218  0.768  0.382
Ag  0.331  0.362  0.362
Ag  0.669  0.638  0.638
Hg  0.000  0.000  0.000